Run A
Computed, not measured: an optimized crystal structure of LiCu2Sn2 at the PBE-GGA level of DFT.

a = 4.746 Å, b = 6.517 Å, c = 6.339 Å
α = 90.00°, β = 90.02°, γ = 70.00°
Sites, in units of the cell vectors:
Li: 0.845 0.778 0.250
Li: 0.155 0.222 0.750
Cu: 0.319 0.875 0.989
Cu: 0.681 0.125 0.489
Cu: 0.681 0.125 0.011
Cu: 0.319 0.875 0.511
Sn: 0.464 0.512 0.250
Sn: 0.870 0.791 0.750
Sn: 0.130 0.209 0.250
Sn: 0.536 0.488 0.750



Run B
Computed, not measured: an optimized crystal structure of LiCu2Sn2 at the PBE-GGA level of DFT.

a = 7.687 Å, b = 7.687 Å, c = 3.250 Å
α = 90.00°, β = 90.00°, γ = 90.00°
Sites, in units of the cell vectors:
Sn: 0.333 0.833 0.000
Sn: 0.833 0.667 0.000
Sn: 0.667 0.167 0.000
Sn: 0.167 0.333 0.000
Cu: 0.126 0.626 0.500
Cu: 0.626 0.874 0.500
Cu: 0.874 0.374 0.500
Cu: 0.374 0.126 0.500
Li: 0.000 0.000 0.000
Li: 0.500 0.500 0.000



Run C
Computed, not measured: an optimized crystal structure of LiCu2Sn2 at the PBE-GGA level of DFT.

a = 3.965 Å, b = 3.965 Å, c = 6.900 Å
α = 73.30°, β = 73.30°, γ = 90.00°
Sites, in units of the cell vectors:
Sn: 0.387 0.387 0.226
Sn: 0.613 0.613 0.774
Cu: 0.750 0.250 0.500
Cu: 0.250 0.750 0.500
Li: 0.000 0.000 0.000



Short version: run A is the most stable of them.



Run A
Computed, not measured: an optimized crystal structure of LiCu2Sn2 at the PBE-GGA level of DFT.

a = 7.198 Å, b = 7.198 Å, c = 3.604 Å
α = 90.00°, β = 90.00°, γ = 90.00°
Sites, in units of the cell vectors:
Sn: 0.177 0.677 0.500
Sn: 0.677 0.823 0.500
Sn: 0.823 0.323 0.500
Sn: 0.323 0.177 0.500
Cu: 0.377 0.877 0.000
Cu: 0.877 0.623 0.000
Cu: 0.623 0.123 0.000
Cu: 0.123 0.377 0.000
Li: 0.000 0.000 0.000
Li: 0.500 0.500 0.000



Run B
Computed, not measured: an optimized crystal structure of LiCu2Sn2 at the PBE-GGA level of DFT.

a = 4.548 Å, b = 4.491 Å, c = 9.051 Å
α = 90.00°, β = 90.00°, γ = 90.00°
Sites, in units of the cell vectors:
Li: 0.750 0.250 0.667
Li: 0.250 0.750 0.333
Cu: 0.250 0.250 0.509
Cu: 0.750 0.750 0.172
Cu: 0.250 0.250 0.828
Cu: 0.750 0.750 0.491
Sn: 0.750 0.250 0.989
Sn: 0.250 0.750 0.663
Sn: 0.250 0.750 0.011
Sn: 0.750 0.250 0.337



Short version: run B is the most stable of them.